{
  "formula": "Er6MnSb2",
  "functional": "meta-GGA SCAN",
  "state": "PBEsol geometry",
  "magmom_total_mub_per_cell": 0.56,
  "formation_energy_uncorrected_ev_per_atom": -0.63,
  "volume_a3_per_atom": 25.2,
  "space_group": "P-62m",
  "lattice_angstrom": [[-3.267, -2.376, -0.787], [-1.026, -1.182, 7.829], [-3.597, 6.143, -3.615]],
  "species": ["Er", "Er", "Mn", "Er", "Er", "Sb", "Er", "Er", "Sb"],
  "fractional_positions": [[0.000, 0.765, 0.765], [0.500, 0.396, 0.396], [0.500, 0.000, 0.000], [0.500, 0.604, 0.000], [0.500, 0.000, 0.604], [0.000, 0.333, 0.667], [0.000, 0.235, 0.000], [0.000, 0.000, 0.235], [0.000, 0.667, 0.333]]
}